{"formula": "Np2As3H2Pd4", "functional": "PBE", "state": "relaxed", "lattice_angstrom": [[-2.845, -2.173, 1.900], [1.331, -3.355, -1.843], [7.554, 0.986, 8.119]], "species": ["Np", "Pd", "Pd", "Pd", "As", "H", "Np", "Pd", "As", "H", "As"], "fractional_positions": [[0.696, 0.696, 0.391], [0.577, 0.077, 0.153], [0.423, 0.923, 0.847], [0.923, 0.423, 0.847], [0.168, 0.168, 0.336], [0.422, 0.422, 0.844], [0.304, 0.304, 0.609], [0.077, 0.577, 0.153], [0.832, 0.832, 0.664], [0.578, 0.578, 0.156], [0.000, 0.000, 0.000]], "magnetic_moment_mub_per_cell": 8.314, "spacegroup": "No. 139", "crystal_system": "tetragonal", "total_energy_ev_per_cell": -71.06, "volume_a3_per_fu": 176.7}